Ac2Se2S (PBE, relaxed); total magnetization = 0.0 μB per cell; symmetry = No. 12; ΔE_f (raw) = -176.3 kJ per mole of atoms; raw total energy = -5.6900 eV/atom
1.0
-1.751 -0.286 5.437
-3.137 -4.615 -1.253
8.581 -2.232 -0.333
S Se Ac
1 2 2
Direct
0.000 0.000 0.000 S
0.750 0.250 0.500 Se
0.250 0.750 0.500 Se
0.173 0.173 0.344 Ac
0.827 0.827 0.656 Ac


Ac5Se5S (PBE, relaxed); total magnetization = 0.0 μB per cell; symmetry = No. 12; ΔE_f (raw) = -186.9 kJ per mole of atoms; raw total energy = -5.7641 eV/atom
1.0
-1.371 -5.394 -2.827
2.877 -0.838 7.097
-8.629 1.701 0.937
S Se Ac
1 5 5
Direct
0.000 0.000 0.000 S
0.329 0.657 0.668 Se
0.670 0.340 0.838 Se
0.000 0.000 0.500 Se
0.330 0.660 0.162 Se
0.671 0.343 0.332 Se
0.838 0.677 0.669 Ac
0.500 0.000 0.000 Ac
0.157 0.314 0.830 Ac
0.843 0.686 0.170 Ac
0.162 0.323 0.331 Ac


Ac4Se4S (PBE, relaxed); total magnetization = 1.7 μB per cell; symmetry = No. 121; ΔE_f (raw) = -167.0 kJ per mole of atoms; raw total energy = -5.5644 eV/atom
1.0
7.337 0.000 0.000
0.000 7.337 0.000
-3.668 -3.668 6.669
Ac Se S
4 4 1
Direct
0.648 0.648 0.740 Ac
0.091 0.091 0.740 Ac
0.352 0.909 0.260 Ac
0.909 0.352 0.260 Ac
0.286 0.286 0.572 Se
0.714 0.714 0.428 Se
0.000 0.500 0.000 Se
0.500 0.000 0.000 Se
0.000 0.000 0.000 S


Ac5Se4S (PBE, relaxed); total magnetization = 0.0 μB per cell; symmetry = No. 139; ΔE_f (raw) = -181.9 kJ per mole of atoms; raw total energy = -5.7457 eV/atom
1.0
4.389 0.000 -0.619
-0.087 4.388 -0.619
0.020 0.021 16.024
Ac Se S
5 4 1
Direct
0.096 0.096 0.193 Ac
0.904 0.904 0.807 Ac
0.701 0.701 0.403 Ac
0.299 0.299 0.597 Ac
0.500 0.500 0.000 Ac
0.198 0.198 0.395 Se
0.600 0.600 0.201 Se
0.802 0.802 0.605 Se
0.400 0.400 0.799 Se
0.000 0.000 0.000 S


Ac2SeS6 (PBE, relaxed); total magnetization = 0.0 μB per cell; symmetry = No. 12; ΔE_f (raw) = -88.9 kJ per mole of atoms; raw total energy = -4.9727 eV/atom
1.0
4.634 0.000 0.000
-2.317 3.933 0.952
0.000 3.030 15.241
S Ac Se
6 2 1
Direct
0.371 0.742 0.021 S
0.869 0.738 0.800 S
0.629 0.258 0.979 S
0.319 0.639 0.391 S
0.681 0.361 0.609 S
0.131 0.262 0.200 S
0.721 0.443 0.296 Ac
0.279 0.557 0.704 Ac
0.000 0.000 0.500 Se


AcSeS3 (PBE, relaxed); total magnetization = 0.0 μB per cell; symmetry = No. 221; ΔE_f (raw) = -81.2 kJ per mole of atoms; raw total energy = -4.8364 eV/atom
1.0
-1.244 -4.342 -1.822
4.068 -1.940 1.847
-2.372 -1.051 4.122
Ac Se S
1 1 3
Direct
0.500 0.500 0.500 Ac
0.000 0.000 0.000 Se
0.000 0.500 0.000 S
0.000 0.000 0.500 S
0.500 0.000 0.000 S